{
  "formula": "Mg2MnTe",
  "functional": "GGA-PBEsol",
  "state": "optimized geometry",
  "lattice": [[-3.505, -1.660, 0.505], [1.933, -4.109, -0.088], [0.567, 0.171, 4.502]],
  "species": ["Mg", "Mg", "Mn", "Te"],
  "fractional_positions": [[0.000, 0.000, 0.500], [0.000, 0.500, 0.000], [0.500, 0.500, 0.500], [0.500, 0.000, 0.000]],
  "e_form_raw_ev_per_atom": 0.10,
  "volume_a3_per_cell": 81
}